Crystalline LiPaAl at its relaxed geometry. Source: Alexandria, functional GGA-PBE.

Results
- Space group: No. 107
- Magnetic moment: 0.001 μB/cell

Cell and atoms, written as extended XYZ:
```
3
Lattice="-1.483 1.483 6.623 1.483 -1.483 6.623 1.483 1.483 -6.623" Properties=species:S:1:pos:R:3 pbc="T T T"
Li 0.000 0.000 0.000
Pa 0.000 0.000 4.059
Al 0.000 0.000 8.400
```



Crystalline LiPaAl2 at its relaxed geometry. Source: Alexandria, functional GGA-PBE.

Results
- Space group: No. 123
- Magnetic moment: 0.008 μB/cell

Cell and atoms, written as extended XYZ:
```
4
Lattice="4.285 0.000 0.000 0.000 4.285 0.000 0.000 0.000 4.397" Properties=species:S:1:pos:R:3 pbc="T T T"
Li 0.000 0.000 0.000
Pa 2.142 2.142 0.000
Al 0.000 2.142 2.198
Al 2.142 0.000 2.198
```



Crystalline LiPaAl at its relaxed geometry. Source: Alexandria, functional GGA-PBE.

Results
- Space group: No. 187
- Magnetic moment: 0.681 μB/cell

Cell and atoms, written as extended XYZ:
```
3
Lattice="4.800 0.000 0.000 -2.400 4.157 0.000 0.000 0.000 3.011" Properties=species:S:1:pos:R:3 pbc="T T T"
Li 0.000 0.000 0.000
Pa 2.400 1.386 1.506
Al 0.000 2.771 0.000
```



Crystalline Li2PaAl10 at its relaxed geometry. Source: Alexandria, functional GGA-PBE.

Results
- Space group: No. 69
- Magnetic moment: 0.000 μB/cell

Cell and atoms, written as extended XYZ:
```
13
Lattice="0.000 6.289 6.623 2.658 0.000 6.623 2.658 6.289 0.000" Properties=species:S:1:pos:R:3 pbc="T T T"
Li 1.329 0.000 3.312
Li 1.329 6.289 3.312
Pa 0.000 0.000 0.000
Al 1.329 3.144 0.000
Al 2.658 4.086 2.334
Al 2.658 4.943 5.163
Al 2.658 8.491 2.334
Al 2.658 7.634 5.163
Al 1.329 3.144 6.623
Al 2.658 4.943 8.083
Al 2.658 4.086 10.912
Al 2.658 7.634 8.083
Al 2.658 8.491 10.912
```



no.,formation energy from the elements (eV/atom),volume (Å³/f.u.)
1,0.039,58.2
2,0.040,80.7
3,0.046,60.1
4,-0.096,221.4